A plane-wave DFT calculation with PBE was carried out for an optimized crystal structure of Zr2AlH2.

Lattice parameters (Å, degrees): 5.463 5.463 5.463 140.01 140.01 57.83
Atoms (fractional coordinates):
Zr 0.159 0.159 0.000
Zr 0.841 0.841 0.000
Al 0.500 0.500 0.000
H 0.250 0.750 0.500
H 0.750 0.250 0.500

Results
Energy ... -5.960 eV/atom
Magnetic moment ... 0.0 μB/f.u.


A plane-wave DFT calculation with PBE was carried out for an optimized crystal structure of La5NdDyY2.

Lattice parameters (Å, degrees): 9.795 9.795 9.795 121.36 121.36 87.66
Atoms (fractional coordinates):
La 0.000 0.000 0.000
La 0.064 0.564 0.904
La 0.161 0.064 0.500
La 0.339 0.839 0.904
La 0.436 0.339 0.500
La 0.500 0.500 0.000
La 0.564 0.661 0.500
La 0.661 0.161 0.096
La 0.839 0.936 0.500
La 0.936 0.436 0.096
Nd 0.250 0.250 0.000
Nd 0.750 0.750 0.000
Dy 0.250 0.750 0.500
Dy 0.750 0.250 0.500
Y 0.108 0.392 0.500
Y 0.392 0.892 0.284
Y 0.608 0.108 0.716
Y 0.892 0.608 0.500

Results
Energy ... -4.924 eV/atom
Magnetic moment ... 0.0 μB/f.u.
E_form ... 252 kJ/mol of formula units


Question: Which value of energy does entry 2 give?
Answer: -4.924 eV/atom


Please write out number 1 again, unchanged.
A plane-wave DFT calculation with PBE was carried out for an optimized crystal structure of Zr2AlH2.

Lattice parameters (Å, degrees): 5.463 5.463 5.463 140.01 140.01 57.83
Atoms (fractional coordinates):
Zr 0.159 0.159 0.000
Zr 0.841 0.841 0.000
Al 0.500 0.500 0.000
H 0.250 0.750 0.500
H 0.750 0.250 0.500

Results
Energy ... -5.960 eV/atom
Magnetic moment ... 0.0 μB/f.u.


Question: What is the magnetic moment in the second record?
Answer: 0.0 μB/f.u.